Record 1
# CdAgNO2 SCAN single point on PBEsol structure
data_CdAgNO2
_symmetry_space_group_name_H-M 'P 4/m m m'
_symmetry_Int_Tables_number 123
_symmetry_space_group_name_Hall '-P 4 2'
_cell_length_a 4.153
_cell_length_b 4.153
_cell_length_c 4.176
_cell_angle_alpha 90.00
_cell_angle_beta 90.00
_cell_angle_gamma 90.00
loop_
_atom_site_label
_atom_site_fract_x
_atom_site_fract_y
_atom_site_fract_z
Cd1 0.000 0.000 0.000
Ag1 0.500 0.500 0.500
N1 0.000 0.000 0.500
O1 0.000 0.500 0.000
# E in eV/cell: -78.9
# Formation energy from raw total energies in eV per atom: 0.929

---

Record 2
# Na2CdReAg SCAN single point on PBEsol structure
data_Na2CdReAg
_symmetry_space_group_name_H-M 'P 4/m m m'
_symmetry_Int_Tables_number 123
_symmetry_space_group_name_Hall '-P 4 2'
_cell_length_a 5.584
_cell_length_b 5.584
_cell_length_c 5.040
_cell_angle_alpha 90.00
_cell_angle_beta 90.00
_cell_angle_gamma 90.00
loop_
_atom_site_label
_atom_site_fract_x
_atom_site_fract_y
_atom_site_fract_z
Na1 0.000 0.500 0.000
Cd1 0.000 0.000 0.500
Re1 0.500 0.500 0.000
Ag1 0.500 0.500 0.500
# E in eV/cell: -134.0
# ΔE_f in eV/atom: 1.45

---

Record 3
# NbCd3Ag SCAN single point on PBEsol structure
data_NbCd3Ag
_symmetry_space_group_name_H-M 'P m -3 m'
_symmetry_Int_Tables_number 221
_symmetry_space_group_name_Hall '-P 4 2 3'
_cell_length_a 4.984
_cell_length_b 4.984
_cell_length_c 4.984
_cell_angle_alpha 90.00
_cell_angle_beta 90.00
_cell_angle_gamma 90.00
loop_
_atom_site_label
_atom_site_fract_x
_atom_site_fract_y
_atom_site_fract_z
Nb1 0.000 0.000 0.000
Cd1 0.000 0.500 0.500
Ag1 0.500 0.500 0.500
# E in eV/cell: -151.1
# ΔE_f in eV/atom: 0.92

---

Question: Which formula does entry 3 have?
Answer: NbCd3Ag

---

Question: Among the records above, which one has the highest E?
Answer: CdAgNO2

---

Question: What is the formula in the second record?
Answer: Na2CdReAg